An optimized crystal structure of UPaOsRh, computed with GGA-PBE.

Output
D(E_F), states/eV/atom: 0.953
Calculated volume, Å³/atom: 18.0
Crystal system: cubic
Calculated formation energy, eV per atom: -0.343
Space-group type: F-43m, No. 216

Cell lengths 4.672, 4.672, 4.672 Å; angles 60.00, 60.00, 60.00 degrees
Element x y z (fractional)
U 0.000 0.000 0.000
Pa 0.750 0.750 0.750
Os 0.500 0.500 0.500
Rh 0.250 0.250 0.250

An optimized crystal structure of YPaOsRh, computed with GGA-PBE.

Output
D(E_F), states/eV/atom: 1.115
Calculated volume, Å³/atom: 20.4
Crystal system: cubic
Calculated formation energy, eV per atom: -0.451
Space-group type: F-43m, No. 216

Cell lengths 4.867, 4.867, 4.867 Å; angles 60.00, 60.00, 60.00 degrees
Element x y z (fractional)
Y 0.000 0.000 0.000
Pa 0.500 0.500 0.500
Os 0.750 0.750 0.750
Rh 0.250 0.250 0.250